1.
Material: AsOsPt2
Method: DFT, PBE-GGA
State: relaxed

Summary:
E_form   224 meV per atom
Crystal system   monoclinic

abc: 2.9408 4.5823 5.6057
angles: 55.10 90.00 90.00
With the nearest neighbours (Å) after each atom.
Positions (direct):
1 As 0.5000 0.5000 0.5000  4 Os 2.72, 6 Pt 2.80-2.81, 2 As 2.94
2 Pt 0.0000 0.0000 0.0000  6 Pt 2.72-2.94, 2 Os 2.80, 4 As 2.81
3 Os 0.0000 0.0000 0.5000  4 As 2.72, 6 Pt 2.80-2.81, 2 Os 2.94
4 Pt 0.5000 0.5000 0.0000  6 Pt 2.72-2.94, 2 As 2.80, 4 Os 2.81

2.
Material: AsOsPt2
Method: DFT, PBE-GGA
State: relaxed

Summary:
E_form   219 meV per atom
Crystal system   monoclinic

abc: 4.8586 4.8586 4.9042
angles: 76.82 76.82 34.10
With the nearest neighbours (Å) after each atom.
Positions (direct):
1 Pt 0.2443 0.2443 0.2605  3 As 2.69-2.84, 4 Os 2.78-2.90, 5 Pt 2.82-2.91
2 Os 0.7647 0.7647 0.7659  2 As 2.55, 5 Pt 2.73-2.78, 2 Os 2.85
3 Pt 0.0120 0.0120 0.9805  3 Os 2.73-2.75, 5 Pt 2.82-2.91, 4 As 2.84-2.86
4 As 0.4791 0.4791 0.4931  2 Os 2.55, 5 Pt 2.69-2.84, 2 As 2.85

3.
Material: AsOs2Pt
Method: DFT, PBE-GGA
State: relaxed

Summary:
E_form   230 meV per atom
Crystal system   tetragonal

abc: 2.8300 2.8300 7.7568
angles: 90.00 90.00 90.00
With the nearest neighbours (Å) after each atom.
Positions (direct):
1 Os 0.5000 0.5000 0.2325  8 Os 2.62-2.83, 4 Pt 2.81
2 Os 0.0000 0.0000 0.0140  8 Os 2.62-2.83, 4 As 2.77
3 Pt 0.0000 0.0000 0.4865  4 Os 2.81, 4 Pt 2.83, 4 As 2.96
4 As 0.5000 0.5000 0.7669  4 Os 2.77, 4 As 2.83, 4 Pt 2.96

4.
Material: ReAs2OsPt
Method: DFT, PBE-GGA
State: relaxed

Summary:
E_form   1610 meV per atom
Crystal system   tetragonal

abc: 4.6707 4.9145 4.6707
angles: 90.00 90.00 90.00
With the nearest neighbours (Å) after each atom.
Positions (direct):
1 As 0.0000 0.0000 0.5000  2 Re 2.34
2 Re 0.0000 0.0000 0.0000  4 As 2.34, 2 Pt 2.46
3 Pt 0.0000 0.5000 0.0000  2 Re 2.46
4 Os 0.5000 0.5000 0.5000  4 Pt 3.30, 8 As 3.39
5 As 0.5000 0.0000 0.0000  2 Re 2.34

5.
Material: AsOsPtSe2
Method: DFT, PBE-GGA
State: relaxed

Summary:
Formation energy (no corrections)   1.010 eV/atom
Crystal system   tetragonal

abc: 4.8791 4.8791 4.6719
angles: 90.00 90.00 90.00
With the nearest neighbours (Å) after each atom.
Positions (direct):
1 Os 0.0000 0.0000 0.0000  2 As 2.34, 4 Se 2.44
2 Se 0.0000 0.5000 0.0000  2 Os 2.44
3 Pt 0.5000 0.5000 0.5000  8 Se 3.38, 4 As 3.45
4 As 0.0000 0.0000 0.5000  2 Os 2.34
5 Se 0.5000 0.0000 0.0000  2 Os 2.44

6.
Material: As2OsPtSe
Method: DFT, PBE-GGA
State: relaxed

Summary:
Formation energy (no corrections)   0.917 eV/atom
Crystal system   tetragonal

abc: 4.6244 4.6244 5.1973
angles: 90.00 90.00 90.00
With the nearest neighbours (Å) after each atom.
Positions (direct):
1 Se 0.0000 0.0000 0.5000  2 Os 2.60
2 Os 0.0000 0.0000 0.0000  4 As 2.31
3 As 0.5000 0.0000 0.0000  2 Os 2.31
4 Pt 0.5000 0.5000 0.5000  4 Se 3.27, 8 As 3.48
5 As 0.0000 0.5000 0.0000  2 Os 2.31

7.
Material: Tc2AsOsPt
Method: DFT, PBE-GGA
State: relaxed

Summary:
E_form   2196 meV per atom
Crystal system   tetragonal

abc: 4.8731 4.4538 4.8731
angles: 90.00 90.00 90.00
With the nearest neighbours (Å) after each atom.
Positions (direct):
1 Os 0.5000 0.5000 0.5000  8 Tc 3.30, 4 As 3.45
2 As 0.0000 0.5000 0.0000  2 Pt 2.23
3 Tc 0.5000 0.0000 0.0000  2 Pt 2.44
4 Pt 0.0000 0.0000 0.0000  2 As 2.23, 4 Tc 2.44
5 Tc 0.0000 0.0000 0.5000  2 Pt 2.44

8.
Material: TeAsOs2Pt
Method: DFT, PBE-GGA
State: relaxed

Summary:
Formation energy (no corrections)   2.067 eV/atom
Crystal system   tetragonal

abc: 4.8038 5.1657 4.8038
angles: 90.00 90.00 90.00
With the nearest neighbours (Å) after each atom.
Positions (direct):
1 Pt 0.0000 0.0000 0.0000  4 Os 2.40, 2 Te 2.58
2 Os 0.0000 0.0000 0.5000  2 Pt 2.40
3 Te 0.0000 0.5000 0.0000  2 Pt 2.58
4 Os 0.5000 0.0000 0.0000  2 Pt 2.40
5 As 0.5000 0.5000 0.5000  4 Te 3.40, 8 Os 3.53

9.
Material: Ti2AsOsPt
Method: DFT, PBE-GGA
State: relaxed

Summary:
E_form   497 meV per atom
Crystal system   tetragonal

abc: 4.5781 4.4626 4.5781
angles: 90.00 90.00 90.00
With the nearest neighbours (Å) after each atom.
Positions (direct):
1 Pt 0.5000 0.5000 0.5000  8 Ti 3.20, 4 Os 3.24
2 As 0.0000 0.0000 0.0000  2 Os 2.23, 4 Ti 2.29
3 Ti 0.5000 0.0000 0.0000  2 As 2.29
4 Os 0.0000 0.5000 0.0000  2 As 2.23
5 Ti 0.0000 0.0000 0.5000  2 As 2.29

10.
Material: AsOsPtW2
Method: DFT, PBE-GGA
State: relaxed

Summary:
E_form   1747 meV per atom
Crystal system   tetragonal

abc: 4.7992 4.5184 4.7992
angles: 90.00 90.00 90.00
With the nearest neighbours (Å) after each atom.
Positions (direct):
1 As 0.0000 0.5000 0.0000  2 Os 2.26
2 W 0.0000 0.0000 0.5000  2 Os 2.40
3 Pt 0.5000 0.5000 0.5000  8 W 3.30, 4 As 3.39
4 Os 0.0000 0.0000 0.0000  2 As 2.26, 4 W 2.40
5 W 0.5000 0.0000 0.0000  2 Os 2.40

11.
Material: YAsOs2Pt
Method: DFT, PBE-GGA
State: relaxed

Summary:
E_form   2513 meV per atom
Crystal system   tetragonal

abc: 4.8825 5.1095 4.8825
angles: 90.00 90.00 90.00
With the nearest neighbours (Å) after each atom.
Positions (direct):
1 Os 0.0000 0.0000 0.5000  2 Y 2.44
2 Y 0.0000 0.0000 0.0000  4 Os 2.44, 2 As 2.55
3 Pt 0.5000 0.5000 0.5000  4 As 3.45, 8 Os 3.53
4 As 0.0000 0.5000 0.0000  2 Y 2.55
5 Os 0.5000 0.0000 0.0000  2 Y 2.44

12.
Material: Pu2AsOs
Method: DFT, PBE-GGA
State: relaxed

Summary:
E_form   -375 meV per atom
Crystal system   tetragonal

abc: 3.6859 3.6859 5.8989
angles: 90.00 90.00 90.00
With the nearest neighbours (Å) after each atom.
Positions (direct):
1 Pu 0.0000 0.0000 0.7491  2 Pu 2.94-2.96, 4 Os 2.99, 4 As 3.00
2 As 0.5000 0.5000 0.0000  2 Os 2.95, 8 Pu 3.00
3 Os 0.5000 0.5000 0.5000  2 As 2.95, 8 Pu 2.99
4 Pu 0.0000 0.0000 0.2509  2 Pu 2.94-2.96, 4 Os 2.99, 4 As 3.00

13.
Material: RbAsOs3
Method: DFT, PBE-GGA
State: relaxed

Summary:
E_form   4123 meV per atom
Crystal system   cubic

abc: 4.7517 4.7517 4.7517
angles: 90.00 90.00 90.00
With the nearest neighbours (Å) after each atom.
Positions (direct):
1 Os 0.0000 0.5000 0.0000  2 Rb 2.38
2 Rb 0.0000 0.0000 0.0000  6 Os 2.38
3 Os 0.5000 0.0000 0.0000  2 Rb 2.38
4 Os 0.0000 0.0000 0.5000  2 Rb 2.38
5 As 0.5000 0.5000 0.5000  12 Os 3.36

14.
Material: Rb2AsOs2
Method: DFT, PBE-GGA
State: relaxed

Summary:
E_form   677 meV per atom
Crystal system   tetragonal

abc: 6.3524 6.3524 6.0271
angles: 90.00 90.00 90.00
With the nearest neighbours (Å) after each atom.
Positions (direct):
1 Os 0.1340 0.3660 0.0000  1 Os 2.41, 2 As 2.48
2 Os 0.6340 0.1340 0.0000  1 Os 2.41, 2 As 2.48
3 Rb 0.8215 0.3215 0.5000  5 Rb 3.21-3.30, 2 Os 3.45
4 Rb 0.1785 0.6785 0.5000  5 Rb 3.21-3.30, 2 Os 3.45
5 Rb 0.6785 0.8215 0.5000  5 Rb 3.21-3.30, 2 Os 3.45
6 As 0.5000 0.5000 0.0000  4 Os 2.48
7 Os 0.8660 0.6340 0.0000  1 Os 2.41, 2 As 2.48
8 Os 0.3660 0.8660 0.0000  1 Os 2.41, 2 As 2.48
9 Rb 0.3215 0.1785 0.5000  5 Rb 3.21-3.30, 2 Os 3.45
10 As 0.0000 0.0000 0.0000  4 Os 2.48

15.
Material: RbAsOs3
Method: DFT, PBE-GGA
State: relaxed

Summary:
E_form   1835 meV per atom
Crystal system   cubic

abc: 4.7184 4.7184 4.7184
angles: 90.00 90.00 90.00
With the nearest neighbours (Å) after each atom.
Positions (direct):
1 Os 0.0000 0.5000 0.0000  2 As 2.36
2 As 0.0000 0.0000 0.0000  6 Os 2.36
3 Os 0.0000 0.0000 0.5000  2 As 2.36
4 Os 0.5000 0.0000 0.0000  2 As 2.36
5 Rb 0.5000 0.5000 0.5000  12 Os 3.34

16.
Material: Rb2AsOs2
Method: DFT, PBE-GGA
State: relaxed

Summary:
E_form   2048 meV per atom
Crystal system   tetragonal

abc: 4.3184 4.3184 8.0578
angles: 74.46 74.46 90.00
With the nearest neighbours (Å) after each atom.
Positions (direct):
1 Os 0.5757 0.5757 0.8486  1 Os 2.26
2 As 0.0000 0.0000 0.0000  8 Os 3.26
3 Os 0.4243 0.4243 0.1514  1 Os 2.26
4 Rb 0.7500 0.2500 0.5000  4 Rb 3.05, 4 Os 3.38
5 Rb 0.2500 0.7500 0.5000  4 Rb 3.05, 4 Os 3.38

17.
Material: RbAsOsSe2
Method: DFT, PBE-GGA
State: relaxed

Summary:
Formation energy (no corrections)   2.669 eV/atom
Crystal system   tetragonal

abc: 5.5330 5.5330 5.4760
angles: 90.00 90.00 90.00
With the nearest neighbours (Å) after each atom.
Positions (direct):
1 Rb 0.0000 0.0000 0.0000  2 As 2.74, 4 Se 2.77
2 Os 0.5000 0.5000 0.5000  8 Se 3.89, 4 As 3.91
3 Se 0.5000 0.0000 0.0000  2 Rb 2.77
4 Se 0.0000 0.5000 0.0000  2 Rb 2.77
5 As 0.0000 0.0000 0.5000  2 Rb 2.74

18.
Material: RbAsOsSe2
Method: DFT, PBE-GGA
State: relaxed

Summary:
Formation energy (no corrections)   0.122 eV/atom
Crystal system   tetragonal

abc: 5.2499 5.2499 4.7078
angles: 90.00 90.00 90.00
With the nearest neighbours (Å) after each atom.
Positions (direct):
1 Os 0.0000 0.0000 0.0000  2 As 2.35, 4 Se 2.62
2 As 0.0000 0.0000 0.5000  2 Os 2.35
3 Rb 0.5000 0.5000 0.5000  8 Se 3.53, 4 As 3.71
4 Se 0.5000 0.0000 0.0000  2 Os 2.62
5 Se 0.0000 0.5000 0.0000  2 Os 2.62

19.
Material: RbSiAsOs2
Method: DFT, PBE-GGA
State: relaxed

Summary:
Formation energy (no corrections)   3.551 eV/atom
Crystal system   tetragonal

abc: 4.8283 4.9516 4.8283
angles: 90.00 90.00 90.00
With the nearest neighbours (Å) after each atom.
Positions (direct):
1 Rb 0.0000 0.0000 0.0000  4 Os 2.41, 2 Si 2.48
2 Si 0.0000 0.5000 0.0000  2 Rb 2.48
3 Os 0.0000 0.0000 0.5000  2 Rb 2.41
4 Os 0.5000 0.0000 0.0000  2 Rb 2.41
5 As 0.5000 0.5000 0.5000  4 Si 3.41, 8 Os 3.46

20.
Material: RbSnAs2Os
Method: DFT, PBE-GGA
State: relaxed

Summary:
E_form   394 meV per atom
Crystal system   tetragonal

abc: 4.9562 5.3905 4.9562
angles: 90.00 90.00 90.00
With the nearest neighbours (Å) after each atom.
Positions (direct):
1 Rb 0.5000 0.5000 0.5000  4 Sn 3.50, 8 As 3.66
2 As 0.0000 0.0000 0.5000  2 Os 2.48
3 Os 0.0000 0.0000 0.0000  4 As 2.48, 2 Sn 2.70
4 Sn 0.0000 0.5000 0.0000  2 Os 2.70
5 As 0.5000 0.0000 0.0000  2 Os 2.48

no.,uncorrected energy (eV per atom),theoretical density (g cm⁻³),spin magnetization (μB/atom)
1,-6.7667,17.56,0.0000
2,-6.7713,17.26,0.0000
3,-8.0577,17.39,0.0000
4,-6.1934,11.17,0.4322
5,-4.7682,9.23,0.0000
6,-5.0942,9.18,0.0000
7,-6.3342,10.30,1.0641
8,-5.1914,10.84,0.0000
9,-7.0446,9.87,0.0000
10,-7.8179,13.21,0.0000
11,-5.4094,10.08,0.5520
12,-11.5104,15.61,2.3800
13,-3.7384,11.32,0.0000
14,-5.1322,8.55,0.0002
15,-6.0265,11.56,0.3619
16,-3.7612,7.48,0.8735
17,-2.0937,5.04,0.2005
18,-4.6414,6.51,0.1912
19,-3.1491,8.18,0.0000
20,-4.7062,6.83,0.0001